# YFe2C2

An optimized crystal structure of YFe2C2 (PBE, Alexandria via LeMat-Bulk).

Properties
Relative energy among the computed polymorphs in meV/atom: 0.0
Fermi-level density of states in states/eV/cell: 5.8
E_form in meV per atom: -260
Space group: No. 70

The structure in POSCAR format:
```
YFe2C2
1.0
0.0000 4.2145 4.5134
2.9668 0.0000 4.5134
2.9668 4.2145 0.0000
Y Fe C
2 4 4
Direct
0.1250 0.1250 0.1250
0.8750 0.8750 0.8750
0.2413 0.2413 0.5087
0.4913 0.4913 0.7587
0.5087 0.5087 0.2413
0.7587 0.7587 0.4913
0.1885 0.5615 0.1885
0.4385 0.8115 0.4385
0.5615 0.1885 0.5615
0.8115 0.4385 0.8115
```

# Y2FeC2

An optimized crystal structure of Y2FeC2 (PBE, Alexandria via LeMat-Bulk).

Properties
Relative energy among the computed polymorphs in meV/atom: 13.4
Fermi-level density of states in states/eV/cell: 13.6
E_form in meV per atom: -264
Space group: No. 62

The structure in POSCAR format:
```
Y2FeC2
1.0
6.2316 0.0000 0.0000
0.0000 5.0498 0.0000
0.0000 0.0000 9.7534
Y Fe C
8 4 8
Direct
0.0187 0.2500 0.2190
0.1878 0.2500 0.5537
0.3122 0.7500 0.0537
0.4813 0.7500 0.7190
0.5187 0.2500 0.2810
0.6878 0.2500 0.9463
0.8122 0.7500 0.4463
0.9813 0.7500 0.7810
0.2318 0.2500 0.8542
0.2682 0.7500 0.3542
0.7318 0.2500 0.6458
0.7682 0.7500 0.1458
0.0315 0.7500 0.2402
0.1959 0.7500 0.5364
0.3041 0.2500 0.0364
0.4685 0.2500 0.7402
0.5315 0.7500 0.2598
0.6959 0.7500 0.9636
0.8041 0.2500 0.4636
0.9685 0.2500 0.7598
```

# Y2FeC

An optimized crystal structure of Y2FeC (PBE, Alexandria via LeMat-Bulk).

Properties
Fermi-level density of states in states/eV/cell: 9.5
E_form in meV per atom: 387
Space group: No. 166

The structure in POSCAR format:
```
Y2FeC
1.0
3.4867 0.0000 0.0000
-1.7434 3.0196 0.0000
0.0000 0.0000 24.8467
Y Fe C
6 3 3
Direct
0.0000 0.0000 0.1118
0.0000 0.0000 0.8882
0.3333 0.6667 0.5548
0.3333 0.6667 0.7785
0.6667 0.3333 0.2215
0.6667 0.3333 0.4452
0.0000 0.0000 0.0000
0.3333 0.6667 0.6667
0.6667 0.3333 0.3333
0.0000 0.0000 0.5000
0.3333 0.6667 0.1667
0.6667 0.3333 0.8333
```

# Y2FeC

An optimized crystal structure of Y2FeC (PBE, Alexandria via LeMat-Bulk).

Properties
Fermi-level density of states in states/eV/cell: 6.2
E_form in meV per atom: -212
Space group: No. 71

The structure in POSCAR format:
```
Y2FeC
1.0
3.5582 0.0000 0.0000
0.0000 3.6730 0.0000
0.0000 0.0000 12.7783
Y Fe C
4 2 2
Direct
0.0000 0.0000 0.1306
0.0000 0.0000 0.8694
0.5000 0.5000 0.3694
0.5000 0.5000 0.6306
0.0000 0.0000 0.5000
0.5000 0.5000 0.0000
0.0000 0.5000 0.5000
0.5000 0.0000 0.0000
```

# YFeC2

An optimized crystal structure of YFeC2 (PBE, Alexandria via LeMat-Bulk).

Properties
Fermi-level density of states in states/eV/cell: 7.3
E_form in meV per atom: 939
Space group: No. 225

The structure in POSCAR format:
```
YFeC2
1.0
5.6177 0.0000 0.0000
0.0000 5.6177 0.0000
0.0000 0.0000 5.6177
Y Fe C
4 4 8
Direct
0.0000 0.0000 0.0000
0.0000 0.5000 0.5000
0.5000 0.0000 0.5000
0.5000 0.5000 0.0000
0.0000 0.0000 0.5000
0.0000 0.5000 0.0000
0.5000 0.0000 0.0000
0.5000 0.5000 0.5000
0.2500 0.2500 0.2500
0.2500 0.2500 0.7500
0.2500 0.7500 0.2500
0.2500 0.7500 0.7500
0.7500 0.2500 0.2500
0.7500 0.2500 0.7500
0.7500 0.7500 0.2500
0.7500 0.7500 0.7500
```

# Y2Fe5C4

An optimized crystal structure of Y2Fe5C4 (PBE, Alexandria via LeMat-Bulk).

Properties
Fermi-level density of states in states/eV/cell: 3.8
E_form in meV per atom: -181
Space group: No. 69

The structure in POSCAR format:
```
Y2Fe5C4
1.0
0.0000 4.6371 5.1375
2.4901 0.0000 5.1375
2.4901 4.6371 0.0000
Y Fe C
2 5 4
Direct
0.1472 0.1472 0.8528
0.8528 0.8528 0.1472
0.0000 0.0000 0.5000
0.2500 0.2500 0.2500
0.5000 0.5000 0.0000
0.5000 0.5000 0.5000
0.7500 0.7500 0.7500
0.2079 0.5303 0.4697
0.4697 0.7921 0.2079
0.5303 0.2079 0.7921
0.7921 0.4697 0.5303
```

# YFe4C4

An optimized crystal structure of YFe4C4 (PBE, Alexandria via LeMat-Bulk).

Properties
Fermi-level density of states in states/eV/cell: 10.8
E_form in meV per atom: 40
Space group: No. 86

The structure in POSCAR format:
```
YFe4C4
1.0
6.9863 0.0000 0.0000
0.0000 6.9863 0.0000
0.0000 0.0000 3.5931
Y Fe C
2 8 8
Direct
0.2500 0.2500 0.2500
0.7500 0.7500 0.7500
0.0928 0.6502 0.1209
0.1502 0.9072 0.6209
0.3498 0.5928 0.6209
0.4072 0.8498 0.1209
0.5928 0.1502 0.8791
0.6502 0.4072 0.3791
0.8498 0.0928 0.3791
0.9072 0.3498 0.8791
0.0349 0.9189 0.1267
0.0811 0.5349 0.6267
0.4189 0.9651 0.6267
0.4651 0.5811 0.1267
0.5349 0.4189 0.8733
0.5811 0.0349 0.3733
0.9189 0.4651 0.3733
0.9651 0.0811 0.8733
```

# Y2FeC2

An optimized crystal structure of Y2FeC2 (PBE, Alexandria via LeMat-Bulk).

Properties
Relative energy among the computed polymorphs in meV/atom: 1198.6
Fermi-level density of states in states/eV/cell: 5.6
E_form in meV per atom: 922
Space group: No. 127

The structure in POSCAR format:
```
Y2FeC2
1.0
7.2487 0.0000 0.0000
0.0000 7.2487 0.0000
0.0000 0.0000 3.0147
Y Fe C
4 2 4
Direct
0.1453 0.3547 0.0000
0.3547 0.8547 0.0000
0.6453 0.1453 0.0000
0.8547 0.6453 0.0000
0.0000 0.0000 0.0000
0.5000 0.5000 0.0000
0.1665 0.6665 0.5000
0.3335 0.1665 0.5000
0.6665 0.8335 0.5000
0.8335 0.3335 0.5000
```

# YFeC2

An optimized crystal structure of YFeC2 (PBE, Alexandria via LeMat-Bulk).

Properties
Fermi-level density of states in states/eV/cell: 11.7
E_form in meV per atom: 174
Space group: No. 141

The structure in POSCAR format:
```
YFeC2
1.0
4.1274 0.0000 0.0000
0.0000 4.1274 0.0000
0.0000 0.0000 11.9487
Y Fe C
4 4 8
Direct
0.0000 0.2500 0.3750
0.0000 0.7500 0.6250
0.5000 0.2500 0.1250
0.5000 0.7500 0.8750
0.0000 0.2500 0.8750
0.0000 0.7500 0.1250
0.5000 0.2500 0.6250
0.5000 0.7500 0.3750
0.0000 0.0000 0.0000
0.0000 0.5000 0.0000
0.2500 0.2500 0.7500
0.2500 0.7500 0.2500
0.5000 0.0000 0.5000
0.5000 0.5000 0.5000
0.7500 0.2500 0.7500
0.7500 0.7500 0.2500
```

# Y12Fe5C15

An optimized crystal structure of Y12Fe5C15 (PBE, Alexandria via LeMat-Bulk).

Properties
Fermi-level density of states in states/eV/cell: 15.2
E_form in meV per atom: -327
Space group: No. 189

The structure in POSCAR format:
```
Y12Fe5C15
1.0
10.4573 0.0000 0.0000
-5.2286 9.0563 0.0000
0.0000 0.0000 5.0670
Y Fe C
12 5 15
Direct
0.0000 0.4343 0.0000
0.0000 0.7919 0.0000
0.1842 0.7300 0.5000
0.2081 0.2081 0.0000
0.2700 0.4542 0.5000
0.4343 0.0000 0.0000
0.4542 0.2700 0.5000
0.5458 0.8158 0.5000
0.5657 0.5657 0.0000
0.7300 0.1842 0.5000
0.7919 0.0000 0.0000
0.8158 0.5458 0.5000
0.0000 0.1556 0.5000
0.1556 0.0000 0.5000
0.3333 0.6667 0.0000
0.6667 0.3333 0.0000
0.8444 0.8444 0.5000
0.0000 0.3242 0.5000
0.0000 0.4526 0.5000
0.0000 0.8034 0.5000
0.1923 0.7164 0.0000
0.1966 0.1966 0.5000
0.2836 0.4759 0.0000
0.3242 0.0000 0.5000
0.4526 0.0000 0.5000
0.4759 0.2836 0.0000
0.5241 0.8077 0.0000
0.5474 0.5474 0.5000
0.6758 0.6758 0.5000
0.7164 0.1923 0.0000
0.8034 0.0000 0.5000
0.8077 0.5241 0.0000
```

# YFeC2

An optimized crystal structure of YFeC2 (PBE, Alexandria via LeMat-Bulk).

Properties
Fermi-level density of states in states/eV/cell: 10.8
E_form in meV per atom: 298
Space group: No. 166

The structure in POSCAR format:
```
YFeC2
1.0
3.3642 0.0000 0.0000
-1.6821 2.9135 0.0000
0.0000 0.0000 13.5655
Y Fe C
3 3 6
Direct
0.0000 0.0000 0.0000
0.3333 0.6667 0.6667
0.6667 0.3333 0.3333
0.0000 0.0000 0.5000
0.3333 0.6667 0.1667
0.6667 0.3333 0.8333
0.0000 0.0000 0.2171
0.0000 0.0000 0.7829
0.3333 0.6667 0.4495
0.3333 0.6667 0.8838
0.6667 0.3333 0.1162
0.6667 0.3333 0.5505
```

# Y2FeC4

An optimized crystal structure of Y2FeC4 (PBE, Alexandria via LeMat-Bulk).

Properties
Fermi-level density of states in states/eV/cell: 2.0
E_form in meV per atom: -288
Space group: No. 72

The structure in POSCAR format:
```
Y2FeC4
1.0
-3.7390 4.8430 2.5223
3.7390 -4.8430 2.5223
3.7390 4.8430 -2.5223
Y Fe C
4 2 8
Direct
0.1442 0.1570 0.3012
0.3558 0.6570 0.0128
0.6442 0.3430 0.9872
0.8558 0.8430 0.6988
0.2500 0.7500 0.5000
0.7500 0.2500 0.5000
0.0780 0.6644 0.7424
0.1288 0.8361 0.9648
0.3712 0.3361 0.7073
0.4220 0.1644 0.5864
0.5780 0.8356 0.4136
0.6288 0.6639 0.2927
0.8712 0.1639 0.0352
0.9220 0.3356 0.2576
```

# Y2Fe2C3

An optimized crystal structure of Y2Fe2C3 (PBE, Alexandria via LeMat-Bulk).

Properties
Relative energy among the computed polymorphs in meV/atom: 0.0
Fermi-level density of states in states/eV/cell: 7.0
E_form in meV per atom: -261
Space group: No. 12

The structure in POSCAR format:
```
Y2Fe2C3
1.0
10.0571 0.0000 0.0000
0.0000 3.4115 0.0000
-3.4370 0.0000 5.0908
Y Fe C
4 4 6
Direct
0.0696 0.0000 0.3309
0.4304 0.5000 0.6691
0.5696 0.5000 0.3309
0.9304 0.0000 0.6691
0.2028 0.5000 0.0861
0.2972 0.0000 0.9139
0.7028 0.0000 0.0861
0.7972 0.5000 0.9139
0.0000 0.5000 0.0000
0.1949 0.5000 0.7534
0.3051 0.0000 0.2466
0.5000 0.0000 0.0000
0.6949 0.0000 0.7534
0.8051 0.5000 0.2466
```

# YFe2C2

An optimized crystal structure of YFe2C2 (PBE, Alexandria via LeMat-Bulk).

Properties
Relative energy among the computed polymorphs in meV/atom: 49.1
Fermi-level density of states in states/eV/cell: 5.5
E_form in meV per atom: -210
Space group: No. 139

The structure in POSCAR format:
```
YFe2C2
1.0
3.4568 0.0000 0.0000
0.0000 3.4568 0.0000
0.0000 0.0000 9.5483
Y Fe C
2 4 4
Direct
0.0000 0.0000 0.0000
0.5000 0.5000 0.5000
0.0000 0.5000 0.2500
0.0000 0.5000 0.7500
0.5000 0.0000 0.2500
0.5000 0.0000 0.7500
0.0000 0.0000 0.3405
0.0000 0.0000 0.6595
0.5000 0.5000 0.1595
0.5000 0.5000 0.8405
```

# Y2FeC

An optimized crystal structure of Y2FeC (PBE, Alexandria via LeMat-Bulk).

Properties
Fermi-level density of states in states/eV/cell: 28.3
E_form in meV per atom: 479
Space group: No. 122

The structure in POSCAR format:
```
Y2FeC
1.0
6.9559 0.0000 0.0000
0.0000 6.9559 0.0000
0.0000 0.0000 7.0017
Y Fe C
8 4 4
Direct
0.1871 0.2500 0.1250
0.2500 0.6871 0.3750
0.2500 0.8129 0.8750
0.3129 0.2500 0.6250
0.6871 0.7500 0.6250
0.7500 0.1871 0.8750
0.7500 0.3129 0.3750
0.8129 0.7500 0.1250
0.0000 0.0000 0.5000
0.0000 0.5000 0.7500
0.5000 0.0000 0.2500
0.5000 0.5000 0.0000
0.0000 0.0000 0.0000
0.0000 0.5000 0.2500
0.5000 0.0000 0.7500
0.5000 0.5000 0.5000
```

# YFe12C6

An optimized crystal structure of YFe12C6 (PBE, Alexandria via LeMat-Bulk).

Properties
Fermi-level density of states in states/eV/cell: 14.2
E_form in meV per atom: 20
Space group: No. 166

The structure in POSCAR format:
```
YFe12C6
1.0
4.5768 2.6424 2.4765
-4.5768 2.6424 2.4765
0.0000 -5.2848 2.4765
Y Fe C
1 12 6
Direct
0.0000 0.0000 0.0000
0.1350 0.5000 0.8650
0.1350 0.8650 0.5000
0.1871 0.4574 0.4574
0.4574 0.1871 0.4574
0.4574 0.4574 0.1871
0.5000 0.1350 0.8650
0.5000 0.8650 0.1350
0.5426 0.5426 0.8129
0.5426 0.8129 0.5426
0.8129 0.5426 0.5426
0.8650 0.1350 0.5000
0.8650 0.5000 0.1350
0.2305 0.2305 0.6688
0.2305 0.6688 0.2305
0.3312 0.7695 0.7695
0.6688 0.2305 0.2305
0.7695 0.3312 0.7695
0.7695 0.7695 0.3312
```

# Y2Fe14C

An optimized crystal structure of Y2Fe14C (PBE, Alexandria via LeMat-Bulk).

Properties
Fermi-level density of states in states/eV/cell: 47.8
E_form in meV per atom: -72
Space group: No. 136

The structure in POSCAR format:
```
Y2Fe14C
1.0
8.7341 0.0000 0.0000
0.0000 8.7341 0.0000
0.0000 0.0000 11.7596
Y Fe C
8 56 4
Direct
0.1435 0.1435 0.0000
0.2407 0.2407 0.5000
0.2593 0.7407 0.0000
0.3565 0.6435 0.5000
0.6435 0.3565 0.5000
0.7407 0.2593 0.0000
0.7593 0.7593 0.5000
0.8565 0.8565 0.0000
0.0000 0.0000 0.3922
0.0000 0.0000 0.6078
0.0000 0.5000 0.0000
0.0000 0.5000 0.5000
0.0356 0.6416 0.1756
0.0356 0.6416 0.8244
0.0647 0.7258 0.3793
0.0647 0.7258 0.6207
0.0972 0.9028 0.2044
0.0972 0.9028 0.7956
0.1416 0.4644 0.3244
0.1416 0.4644 0.6756
0.1839 0.1839 0.2547
0.1839 0.1839 0.7453
0.2258 0.4353 0.1207
0.2258 0.4353 0.8793
0.2742 0.9353 0.3793
0.2742 0.9353 0.6207
0.3161 0.6839 0.2453
0.3161 0.6839 0.7547
0.3584 0.9644 0.1756
0.3584 0.9644 0.8244
0.4028 0.4028 0.2956
0.4028 0.4028 0.7044
0.4353 0.2258 0.1207
0.4353 0.2258 0.8793
0.4644 0.1416 0.3244
0.4644 0.1416 0.6756
0.5000 0.0000 0.0000
0.5000 0.0000 0.5000
0.5000 0.5000 0.1078
0.5000 0.5000 0.8922
0.5356 0.8584 0.3244
0.5356 0.8584 0.6756
0.5647 0.7742 0.1207
0.5647 0.7742 0.8793
0.5972 0.5972 0.2956
0.5972 0.5972 0.7044
0.6416 0.0356 0.1756
0.6416 0.0356 0.8244
0.6839 0.3161 0.2453
0.6839 0.3161 0.7547
0.7258 0.0647 0.3793
0.7258 0.0647 0.6207
0.7742 0.5647 0.1207
0.7742 0.5647 0.8793
0.8161 0.8161 0.2547
0.8161 0.8161 0.7453
0.8584 0.5356 0.3244
0.8584 0.5356 0.6756
0.9028 0.0972 0.2044
0.9028 0.0972 0.7956
0.9353 0.2742 0.3793
0.9353 0.2742 0.6207
0.9644 0.3584 0.1756
0.9644 0.3584 0.8244
0.1270 0.8730 0.5000
0.3730 0.3730 0.0000
0.6270 0.6270 0.0000
0.8730 0.1270 0.5000
```

# Y2FeC2

An optimized crystal structure of Y2FeC2 (PBE, Alexandria via LeMat-Bulk).

Properties
Relative energy among the computed polymorphs in meV/atom: 1279.2
Fermi-level density of states in states/eV/cell: 16.4
E_form in meV per atom: 1002
Space group: No. 139

The structure in POSCAR format:
```
Y2FeC2
1.0
3.4422 0.0000 0.0000
0.0000 3.4422 0.0000
0.0000 0.0000 15.0339
Y Fe C
4 2 4
Direct
0.0000 0.0000 0.1392
0.0000 0.0000 0.8608
0.5000 0.5000 0.3608
0.5000 0.5000 0.6392
0.0000 0.0000 0.5000
0.5000 0.5000 0.0000
0.0000 0.5000 0.2500
0.0000 0.5000 0.7500
0.5000 0.0000 0.2500
0.5000 0.0000 0.7500
```

# Y2FeC2

An optimized crystal structure of Y2FeC2 (PBE, Alexandria via LeMat-Bulk).

Properties
Relative energy among the computed polymorphs in meV/atom: 0.0
Fermi-level density of states in states/eV/cell: 5.8
E_form in meV per atom: -277
Space group: No. 12

The structure in POSCAR format:
```
Y2FeC2
1.0
5.4590 -2.5200 0.0000
5.4590 2.5200 0.0000
-3.5103 0.0000 5.7143
Y Fe C
4 2 4
Direct
0.0416 0.0416 0.2831
0.3181 0.3181 0.8896
0.6819 0.6819 0.1104
0.9584 0.9584 0.7169
0.3714 0.3714 0.3687
0.6286 0.6286 0.6313
0.1851 0.1851 0.1098
0.4836 0.4836 0.6986
0.5164 0.5164 0.3014
0.8149 0.8149 0.8902
```